Below is a relaxed structure of Ac2Ni5B, with properties calculated at the GGA-PBE level.

Properties
As for the total energy: -45.0 eV per formula unit.

a = 5.4904 Å, b = 5.4904 Å, c = 9.2217 Å
α = 90.00°, β = 90.00°, γ = 90.00°
Space group I4mm (No. 107)
Symmetry-distinct sites (fractional):
Ac  0.0000  0.5000  0.0000 x4
Ni  0.0000  0.0000  0.0736 x2
Ni  0.2504  0.2504  0.2534 x8
B  0.0000  0.0000  0.8291 x2



Below is a relaxed structure of Ac6Si2CCl3, with properties calculated at the GGA-PBE level.

Properties
The calculation puts the uncorrected formation energy at -98.9 kJ per mole of atoms.

a = 7.6060 Å, b = 13.1513 Å, c = 7.7944 Å
α = 90.00°, β = 108.95°, γ = 90.00°
Space group C2/m (No. 12)
Symmetry-distinct sites (fractional):
Ac  0.2254  0.1541  0.2143 x8
Ac  0.2351  0.0000  0.7845 x4
Si  0.0000  0.3337  0.0000 x4
C  0.0000  0.0000  0.0000 x2
Cl  0.0000  0.1761  0.5000 x4
Cl  0.0000  0.5000  0.5000 x2



Below is a relaxed structure of Sr3OsI, with properties calculated at the GGA-PBE level.

Properties
The calculation puts the uncorrected formation energy at 2.4 kJ per mole of atoms.

a = 5.8473 Å, b = 5.8473 Å, c = 5.8473 Å
α = 90.00°, β = 90.00°, γ = 90.00°
Space group Pm-3m (No. 221)
Symmetry-distinct sites (fractional):
Sr  0.0000  0.0000  0.5000 x3
Os  0.0000  0.0000  0.0000 x1
I  0.5000  0.5000  0.5000 x1



| no. | spin magnetization (μB per formula unit) |
| --- | --- |
| 1 | 0.000 |
| 2 | 0.000 |
| 3 | 0.002 |